(1)
The following is a PBE calculation of LaPuO2 after structural relaxation, from Alexandria.

Geometry as extended XYZ:
```
4
Lattice="3.111 0.000 0.000 0.000 3.111 0.000 0.000 0.000 6.263" Properties=species:S:1:pos:R:3 pbc="T T T"
Pu 1.555 1.555 0.000
O 0.000 0.000 1.571
O 0.000 0.000 4.692
La 1.555 1.555 3.132
```

---

(2)
The following is a PBE calculation of LaPuO2 after structural relaxation, from Alexandria.

Geometry as extended XYZ:
```
4
Lattice="3.551 0.000 0.000 1.776 3.075 0.000 1.776 1.025 5.887" Properties=species:S:1:pos:R:3 pbc="T T T"
La 0.000 0.000 0.000
Pu 3.551 2.050 2.944
O 1.776 1.025 1.609
O 5.327 3.075 4.279
```

---

Going by the energies, (2) is most stable and the next is 587 meV/atom up.

---

(1)
The following is a PBE calculation of Rb3LaO3 after structural relaxation, from Alexandria.

Geometry as extended XYZ:
```
14
Lattice="7.777 1.693 -1.118 3.069 7.344 -1.118 -2.570 -2.141 7.219" Properties=species:S:1:pos:R:3 pbc="T T T"
O 7.247 3.644 4.123
O -1.735 -1.445 5.530
O 1.030 3.251 0.860
O 10.011 8.341 -0.547
O 4.893 6.469 4.123
O 3.383 0.426 0.860
Rb 7.091 5.908 2.075
Rb 5.298 2.055 2.492
Rb 2.978 4.840 2.492
Rb 4.262 5.912 -1.118
Rb 6.584 3.125 -1.118
Rb 1.185 0.987 2.908
La -0.145 -0.121 6.489
La 8.421 7.016 -1.505
```

---

(2)
The following is a PBE calculation of Rb3LaO3 after structural relaxation, from Alexandria.

Geometry as extended XYZ:
```
14
Lattice="-6.009 -2.336 3.875 2.838 -4.814 -5.035 4.805 -2.051 5.341" Properties=species:S:1:pos:R:3 pbc="T T T"
O 0.139 -5.962 4.392
O -2.072 -6.766 -0.175
O 2.638 -6.661 1.876
O 1.495 -3.239 -0.211
O -1.004 -2.539 2.306
O 3.706 -2.434 4.357
Rb 3.351 -5.310 -0.462
Rb -3.761 -2.966 1.611
Rb -1.717 -3.890 4.643
Rb 0.590 -4.184 -2.771
Rb 1.934 -3.853 2.992
Rb -0.300 -5.348 1.190
La 1.521 -7.525 3.603
La 0.114 -1.676 0.579
```

---

Going by the energies, (1) is most stable and the next is 28 meV/atom up.